Entry 1:
Material: Sr2AuN
Method: DFT, PBE
State: optimized geometry

Lattice parameters (Å, degrees): 7.871 7.871 7.871 28.74 28.74 28.74
Fractional positions:
Sr  0.227  0.227  0.227
Sr  0.773  0.773  0.773
Au  0.000  0.000  0.000
N  0.500  0.500  0.500

Computed properties:
Its energy is -4.37 eV per atom. As for the space group: R-3m. The value obtained for the mass density is 6.43 g/cm3.

---

Entry 2:
Material: CsCdGaAu
Method: DFT, PBE
State: optimized geometry

Lattice parameters (Å, degrees): 7.408 7.408 7.408 36.97 36.97 36.97
Fractional positions:
Cs  0.000  0.000  0.000
Cd  0.188  0.188  0.188
Ga  0.472  0.472  0.472
Au  0.810  0.810  0.810

Computed properties:
Its energy is -2.21 eV per atom. As for the space group: R3m. The value obtained for the mass density is 6.45 g/cm3.

---

Entry 3:
Material: NaMgSn2Cl6
Method: DFT, PBE
State: optimized geometry

Lattice parameters (Å, degrees): 6.978 7.238 7.269 61.13 66.25 87.41
Fractional positions:
Na  0.000  0.000  0.000
Mg  0.561  0.518  0.911
Sn  0.291  0.600  0.457
Sn  0.690  0.353  0.408
Cl  0.111  0.263  0.518
Cl  0.273  0.335  0.906
Cl  0.370  0.782  0.977
Cl  0.626  0.173  0.160
Cl  0.795  0.672  0.496
Cl  0.855  0.663  0.973

Computed properties:
Its energy is -3.45 eV per atom. As for the space group: P1. The value obtained for the mass density is 2.86 g/cm3.

---

Entry 4:
Material: DyPu2In3
Method: DFT, PBE
State: optimized geometry

Lattice parameters (Å, degrees): 3.757 3.757 11.488 90.00 90.00 90.00
Fractional positions:
Dy  0.000  0.000  0.000
Pu  0.000  0.000  0.332
Pu  0.000  0.000  0.668
In  0.500  0.500  0.161
In  0.500  0.500  0.500
In  0.500  0.500  0.839

Computed properties:
Its energy is -7.12 eV per atom. As for the space group: P4/mmm. The value obtained for the mass density is 10.19 g/cm3.

---

Entry 5:
Material: Nd12GaPd6
Method: DFT, PBE
State: optimized geometry

Lattice parameters (Å, degrees): 8.603 8.603 8.603 100.72 100.72 100.72
Fractional positions:
Nd  0.060  0.917  0.675
Nd  0.083  0.325  0.940
Nd  0.178  0.573  0.411
Nd  0.325  0.940  0.083
Nd  0.411  0.178  0.573
Nd  0.427  0.589  0.822
Nd  0.573  0.411  0.178
Nd  0.589  0.822  0.427
Nd  0.675  0.060  0.917
Nd  0.822  0.427  0.589
Nd  0.917  0.675  0.060
Nd  0.940  0.083  0.325
Ga  0.000  0.000  0.000
Pd  0.136  0.321  0.615
Pd  0.321  0.615  0.136
Pd  0.385  0.864  0.679
Pd  0.615  0.136  0.321
Pd  0.679  0.385  0.864
Pd  0.864  0.679  0.385

Computed properties:
Its energy is -5.21 eV per atom. As for the space group: R-3. The value obtained for the mass density is 6.77 g/cm3.

---

Entry 6:
Material: Pr3Er2Mg3
Method: DFT, PBE
State: optimized geometry

Lattice parameters (Å, degrees): 11.855 11.855 11.855 161.53 152.79 33.08
Fractional positions:
Pr  0.000  0.000  0.000
Pr  0.373  0.873  0.500
Pr  0.627  0.127  0.500
Er  0.236  0.236  0.000
Er  0.764  0.764  0.000
Mg  0.121  0.621  0.500
Mg  0.500  0.500  0.000
Mg  0.879  0.379  0.500

Computed properties:
Its energy is -3.60 eV per atom. As for the space group: Immm. The value obtained for the mass density is 5.72 g/cm3.

---

Entry 7:
Material: CaCe2PrP4
Method: DFT, PBE
State: optimized geometry

Lattice parameters (Å, degrees): 7.145 4.142 7.168 90.00 109.53 90.00
Fractional positions:
Ca  0.000  0.000  0.000
Ce  0.500  0.000  0.500
Ce  0.500  0.500  0.000
Pr  0.000  0.500  0.500
P  0.261  0.000  0.753
P  0.265  0.500  0.256
P  0.735  0.500  0.744
P  0.739  0.000  0.247

Computed properties:
Its energy is -6.45 eV per atom. As for the space group: P2/m. The value obtained for the mass density is 4.86 g/cm3.

---

Entry 8:
Material: NaTb4Er3Se8
Method: DFT, PBE
State: optimized geometry

Lattice parameters (Å, degrees): 8.164 8.164 8.164 59.90 59.90 59.90
Fractional positions:
Na  0.000  0.000  0.000
Tb  0.000  0.000  0.500
Tb  0.000  0.500  0.000
Tb  0.500  0.000  0.000
Tb  0.500  0.500  0.500
Er  0.000  0.500  0.500
Er  0.500  0.000  0.500
Er  0.500  0.500  0.000
Se  0.249  0.249  0.748
Se  0.249  0.748  0.249
Se  0.252  0.252  0.252
Se  0.252  0.751  0.751
Se  0.748  0.249  0.249
Se  0.748  0.748  0.748
Se  0.751  0.252  0.751
Se  0.751  0.751  0.252

Computed properties:
Its energy is -5.57 eV per atom. As for the space group: R-3m. The value obtained for the mass density is 7.75 g/cm3.

---

Entry 9:
Material: Li2B2Au
Method: DFT, PBE
State: optimized geometry

Lattice parameters (Å, degrees): 6.947 6.947 2.560 90.00 90.00 90.00
Fractional positions:
Li  0.196  0.304  0.000
Li  0.304  0.804  0.000
Li  0.696  0.196  0.000
Li  0.804  0.696  0.000
B  0.081  0.581  0.500
B  0.419  0.081  0.500
B  0.581  0.919  0.500
B  0.919  0.419  0.500
Au  0.000  0.000  0.000
Au  0.500  0.500  0.000

Computed properties:
Its energy is -3.55 eV per atom. As for the space group: P4/mbm. The value obtained for the mass density is 6.25 g/cm3.

---

Entry 10:
Material: LiZn2Ag3
Method: DFT, PBE
State: optimized geometry

Lattice parameters (Å, degrees): 9.423 9.423 7.958 108.40 108.40 17.58
Fractional positions:
Li  0.181  0.181  0.036
Li  0.819  0.819  0.964
Zn  0.193  0.193  0.369
Zn  0.432  0.432  0.865
Zn  0.568  0.568  0.135
Zn  0.807  0.807  0.631
Ag  0.062  0.062  0.437
Ag  0.200  0.200  0.723
Ag  0.428  0.428  0.213
Ag  0.572  0.572  0.787
Ag  0.800  0.800  0.277
Ag  0.938  0.938  0.563

Computed properties:
The polymorph energy (0 for the lowest one) comes out at 74.6 meV per atom. As for the space group: C2/m. The value obtained for the mass density is 7.58 g/cm3.

---

Entry 11:
Material: ScZnPb3
Method: DFT, PBE
State: optimized geometry

Lattice parameters (Å, degrees): 5.343 5.343 5.343 90.00 90.00 90.00
Fractional positions:
Sc  0.000  0.000  0.000
Zn  0.500  0.500  0.500
Pb  0.000  0.500  0.500
Pb  0.500  0.000  0.500
Pb  0.500  0.500  0.000

Computed properties:
The polymorph energy (0 for the lowest one) comes out at 0.0 meV per atom. As for the space group: Pm-3m. The value obtained for the mass density is 7.97 g/cm3.

---

Entry 12:
Material: Ho4Tm19Th6
Method: DFT, PBE
State: optimized geometry

Lattice parameters (Å, degrees): 10.675 10.675 10.675 109.47 109.47 109.47
Fractional positions:
Ho  0.000  0.000  0.644
Ho  0.000  0.644  0.000
Ho  0.356  0.356  0.356
Ho  0.644  0.000  0.000
Tm  0.000  0.000  0.000
Tm  0.000  0.264  0.264
Tm  0.000  0.736  0.736
Tm  0.019  0.810  0.342
Tm  0.190  0.209  0.532
Tm  0.209  0.532  0.190
Tm  0.264  0.000  0.264
Tm  0.264  0.264  0.000
Tm  0.323  0.791  0.981
Tm  0.342  0.019  0.810
Tm  0.468  0.677  0.658
Tm  0.532  0.190  0.209
Tm  0.658  0.468  0.677
Tm  0.677  0.658  0.468
Tm  0.736  0.000  0.736
Tm  0.736  0.736  0.000
Tm  0.791  0.981  0.323
Tm  0.810  0.342  0.019
Tm  0.981  0.323  0.791
Th  0.130  0.630  0.500
Th  0.370  0.500  0.870
Th  0.500  0.130  0.630
Th  0.500  0.870  0.370
Th  0.630  0.500  0.130
Th  0.870  0.370  0.500

Computed properties:
Its energy is -4.67 eV per atom. As for the space group: I23. The value obtained for the mass density is 9.33 g/cm3.

---

Entry 13:
Material: CeNpB12
Method: DFT, PBE
State: optimized geometry

Lattice parameters (Å, degrees): 4.101 4.101 8.200 90.00 90.00 90.00
Fractional positions:
Ce  0.000  0.000  0.000
Np  0.000  0.000  0.500
B  0.198  0.500  0.251
B  0.198  0.500  0.749
B  0.500  0.198  0.251
B  0.500  0.198  0.749
B  0.500  0.500  0.100
B  0.500  0.500  0.401
B  0.500  0.500  0.599
B  0.500  0.500  0.900
B  0.500  0.802  0.251
B  0.500  0.802  0.749
B  0.802  0.500  0.251
B  0.802  0.500  0.749

Computed properties:
Its energy is -7.47 eV per atom. As for the space group: P4/mmm. The value obtained for the mass density is 6.10 g/cm3.

---

Entry 14:
Material: Ce3Pr2ThSe6
Method: DFT, PBE
State: optimized geometry

Lattice parameters (Å, degrees): 9.450 9.450 8.455 103.14 103.14 25.79
Fractional positions:
Ce  0.000  0.000  0.000
Ce  0.333  0.333  0.666
Ce  0.667  0.667  0.334
Pr  0.334  0.334  0.168
Pr  0.666  0.666  0.832
Th  0.000  0.000  0.500
Se  0.166  0.166  0.087
Se  0.167  0.167  0.581
Se  0.499  0.499  0.751
Se  0.501  0.501  0.249
Se  0.833  0.833  0.419
Se  0.834  0.834  0.913

Computed properties:
Its energy is -6.42 eV per atom. As for the space group: C2/m. The value obtained for the mass density is 7.32 g/cm3.

---

Entry 15:
Material: Ho6SbTe2
Method: DFT, PBE
State: optimized geometry

Lattice parameters (Å, degrees): 6.580 7.797 11.922 90.00 118.32 90.00
Fractional positions:
Ho  0.076  0.208  0.446
Ho  0.076  0.292  0.946
Ho  0.292  0.653  0.437
Ho  0.292  0.847  0.937
Ho  0.389  0.030  0.227
Ho  0.389  0.470  0.727
Ho  0.611  0.530  0.273
Ho  0.611  0.970  0.773
Ho  0.708  0.153  0.063
Ho  0.708  0.347  0.563
Ho  0.924  0.708  0.054
Ho  0.924  0.792  0.554
Sb  0.500  0.000  0.500
Sb  0.500  0.500  0.000
Te  0.144  0.125  0.725
Te  0.144  0.375  0.225
Te  0.856  0.625  0.775
Te  0.856  0.875  0.275

Computed properties:
Its energy is -4.91 eV per atom. As for the space group: P2_1/c. The value obtained for the mass density is 8.43 g/cm3.

---

Entry 16:
Material: AgWAu2
Method: DFT, PBE
State: optimized geometry

Lattice parameters (Å, degrees): 2.827 2.827 8.638 90.00 90.00 90.00
Fractional positions:
Ag  0.000  0.000  0.000
W  0.500  0.500  0.753
Au  0.000  0.000  0.516
Au  0.500  0.500  0.255

Computed properties:
The polymorph energy (0 for the lowest one) comes out at 80.4 meV per atom. As for the space group: P4mm. The value obtained for the mass density is 16.49 g/cm3.

---

Entry 17:
Material: ScTl2FeHg
Method: DFT, PBE
State: optimized geometry

Lattice parameters (Å, degrees): 4.975 4.975 5.019 90.00 90.00 90.00
Fractional positions:
Sc  0.000  0.000  0.000
Tl  0.000  0.500  0.500
Tl  0.500  0.000  0.500
Fe  0.500  0.500  0.500
Hg  0.500  0.500  0.000

Computed properties:
Its energy is -3.47 eV per atom. As for the space group: P4/mmm. The value obtained for the mass density is 9.49 g/cm3.

---

Entry 18:
Material: Ce3HoP4
Method: DFT, PBE
State: optimized geometry

Lattice parameters (Å, degrees): 5.745 5.745 5.745 90.00 90.00 90.00
Fractional positions:
Ce  0.000  0.000  0.500
Ce  0.000  0.500  0.000
Ce  0.500  0.000  0.000
Ho  0.500  0.500  0.500
P  0.000  0.000  0.000
P  0.000  0.500  0.500
P  0.500  0.000  0.500
P  0.500  0.500  0.000

Computed properties:
The polymorph energy (0 for the lowest one) comes out at 3.7 meV per atom. As for the space group: Pm-3m. The value obtained for the mass density is 6.21 g/cm3.

---

Entry 19:
Material: Ce2BiO
Method: DFT, PBE
State: optimized geometry

Lattice parameters (Å, degrees): 9.533 9.533 4.466 90.00 90.00 150.85
Fractional positions:
Ce  0.000  0.000  0.000
Ce  0.178  0.822  0.500
Ce  0.500  0.500  0.500
Ce  0.822  0.178  0.500
Bi  0.349  0.651  0.000
Bi  0.651  0.349  0.000
O  0.065  0.935  0.500
O  0.935  0.065  0.500

Computed properties:
The polymorph energy (0 for the lowest one) comes out at 0.0 meV per atom. As for the space group: Cmmm. The value obtained for the mass density is 8.49 g/cm3.

---

Entry 20:
Material: Nb3InH
Method: DFT, PBE
State: optimized geometry

Lattice parameters (Å, degrees): 7.534 5.737 9.738 90.00 130.24 90.00
Fractional positions:
Nb  0.001  0.010  0.231
Nb  0.001  0.490  0.731
Nb  0.270  0.652  0.640
Nb  0.270  0.848  0.140
Nb  0.485  0.250  0.495
Nb  0.485  0.250  0.995
Nb  0.515  0.750  0.005
Nb  0.515  0.750  0.505
Nb  0.730  0.152  0.860
Nb  0.730  0.348  0.360
Nb  0.999  0.510  0.269
Nb  0.999  0.990  0.769
In  0.214  0.161  0.610
In  0.214  0.339  0.110
In  0.786  0.661  0.890
In  0.786  0.839  0.390
H  0.200  0.731  0.919
H  0.200  0.769  0.419
H  0.800  0.231  0.581
H  0.800  0.269  0.081

Computed properties:
Its energy is -7.24 eV per atom. As for the space group: P2_1/c. The value obtained for the mass density is 8.16 g/cm3.